Computed, not measured: a relaxed structure of TaNbCuSi at the PBE level of DFT.

```
4
Lattice="0.0000 3.1574 3.1574 3.1574 0.0000 3.1574 3.1574 3.1574 0.0000" Properties=species:S:1:pos:R:3 pbc="T T T"
Ta 0.0000 0.0000 0.0000
Nb 1.5787 1.5787 1.5787
Cu 4.7361 4.7361 4.7361
Si 3.1574 3.1574 3.1574
```

Results
The energy comes out at -7.540 eV/atom. For the magnetic moment, the calculation gives 0.00 Bohr magnetons per cell. The calculation puts the relative energy among the computed polymorphs at 0 meV per atom.